Li14P2N6O3 | GGA-PBEsol | optimized geometry

Cell and atoms, written as CIF:
```
data_Li14P2N6O3
_chemical_formula_sum 'Li14 P2 N6 O3'
_cell_length_a 5.6350
_cell_length_b 5.6350
_cell_length_c 7.9522
_cell_angle_alpha 90.00
_cell_angle_beta 90.00
_cell_angle_gamma 120.00
_space_group_name_H-M_alt 'P 1'
_space_group_IT_number 1
loop_
_space_group_symop_operation_xyz
'x,y,z'
loop_
_atom_site_label
_atom_site_fract_x
_atom_site_fract_y
_atom_site_fract_z
Li1 0.0000 0.0000 0.2485
Li2 0.0000 0.0000 0.7515
Li3 0.0480 0.6941 0.5896
Li4 0.0820 0.3784 0.9091
Li5 0.2964 0.9180 0.9091
Li6 0.3059 0.3539 0.5896
Li7 0.3539 0.0480 0.4104
Li8 0.3784 0.2964 0.0909
Li9 0.6216 0.7036 0.9091
Li10 0.6461 0.9520 0.5896
Li11 0.6941 0.6461 0.4104
Li12 0.7036 0.0820 0.0909
Li13 0.9180 0.6216 0.0909
Li14 0.9520 0.3059 0.4104
P1 0.3333 0.6667 0.2275
P2 0.6667 0.3333 0.7725
N1 0.0694 0.3751 0.1742
N2 0.3056 0.9306 0.1742
N3 0.3751 0.3056 0.8258
N4 0.6249 0.6944 0.1742
N5 0.6944 0.0694 0.8258
N6 0.9306 0.6249 0.8258
O1 0.0000 0.0000 0.5000
O2 0.3333 0.6667 0.4474
O3 0.6667 0.3333 0.5526
```

Summary:
**VASP energy**: -5.47 eV per atom
**Calculated volume**: 219 Å³ per cell
**M_tot**: 0.0 μB/cell
**Formation energy without anion corrections**: -1.22 eV per atom